Record 1
Ce2PuRe: optimized geometry, PBE.

```
Ce2PuRe
1.0
-2.971 -3.777 1.453
-0.302 -4.169 -2.780
2.019 -4.282 1.670
Ce Pu Re
2 1 1
direct
0.750 0.750 0.750
0.250 0.250 0.250
0.500 0.500 0.500
0.000 0.000 0.000
```

## Properties
calculated formation energy = 194 meV/atom
SG = Fm-3m
total energy = -9.47 eV/atom
polymorph energy (0 for the lowest one) = 49 meV/atom
D(E_F) = 9.757 states/eV per cell

---

Record 2
CePu2Rh9: optimized geometry, PBE.

```
CePu2Rh9
1.0
-1.895 2.619 4.149
-5.117 1.195 0.243
-3.923 -6.345 5.547
Rh Pu Ce
9 2 1
direct
0.334 0.334 0.999
0.415 0.919 0.252
0.081 0.585 0.748
0.585 0.585 0.748
0.415 0.415 0.252
0.585 0.081 0.748
0.666 0.666 0.001
0.500 0.500 0.500
0.919 0.415 0.252
0.140 0.140 0.581
0.860 0.860 0.419
0.000 0.000 0.000
```

## Properties
calculated formation energy = -440 meV/atom
SG = R-3m
total energy = -8.84 eV/atom
D(E_F) = 26.767 states/eV per cell

---

Record 3
CePuRh: optimized geometry, PBE.

```
CePuRh
1.0
-0.898 3.569 0.823
0.001 0.444 5.429
6.100 4.020 -1.542
Pu Ce Rh
2 2 2
direct
0.348 0.379 0.252
0.778 0.749 0.044
0.483 0.762 0.533
0.644 0.366 0.764
0.177 0.090 0.925
0.949 0.039 0.371
```

## Properties
calculated formation energy = -362 meV/atom
SG = P-1
total energy = -9.57 eV/atom
polymorph energy (0 for the lowest one) = 53 meV/atom
D(E_F) = 16.237 states/eV per cell

---

Record 4
Ce5PuRh6: optimized geometry, PBE.

```
Ce5PuRh6
1.0
-2.033 6.451 -1.520
-2.948 0.077 -6.282
-6.824 -1.059 -0.644
Rh Ce Pu
6 5 1
direct
0.752 0.751 0.000
0.248 0.586 0.332
0.752 0.083 0.332
0.248 0.917 0.668
0.752 0.414 0.668
0.248 0.249 0.000
0.500 0.833 0.334
0.500 0.500 0.000
0.000 0.333 0.333
0.000 0.667 0.667
0.500 0.167 0.666
0.000 0.000 0.000
```

## Properties
calculated formation energy = -630 meV/atom
SG = C2/m
total energy = -7.97 eV/atom
D(E_F) = 23.466 states/eV per cell

---

Record 5
CePu8Rh6: optimized geometry, PBE.

```
CePu8Rh6
1.0
-6.085 1.120 -1.096
-4.382 -3.765 2.470
-3.834 4.146 7.509
Pu Rh Ce
8 6 1
direct
0.478 0.815 0.569
0.522 0.185 0.431
0.688 0.688 0.936
0.815 0.138 0.569
0.862 0.522 0.431
0.185 0.862 0.431
0.312 0.312 0.064
0.138 0.478 0.569
0.387 0.140 0.793
0.140 0.679 0.793
0.613 0.860 0.207
0.321 0.613 0.207
0.860 0.321 0.207
0.679 0.387 0.793
0.000 0.000 0.000
```

## Properties
calculated formation energy = -200 meV/atom
SG = R-3
total energy = -11.18 eV/atom
D(E_F) = 40.232 states/eV per cell

---

Record 6
CePu6Rh5: optimized geometry, PBE.

```
CePu6Rh5
1.0
4.769 0.019 -1.395
-0.908 6.270 -2.997
-0.221 0.509 8.122
Rh Pu Ce
5 6 1
direct
0.655 0.181 0.308
0.000 0.500 0.000
0.666 0.638 0.329
0.334 0.362 0.671
0.345 0.819 0.692
0.515 0.746 0.030
0.830 0.562 0.662
0.170 0.438 0.338
0.813 0.063 0.627
0.187 0.937 0.373
0.485 0.254 0.970
0.000 0.000 0.000
```

## Properties
calculated formation energy = -348 meV/atom
SG = P-1
total energy = -11.07 eV/atom
D(E_F) = 43.058 states/eV per cell

---

Record 7
CePu3Rh2: optimized geometry, PBE.

```
CePu3Rh2
1.0
4.161 0.000 0.000
0.000 7.769 0.000
0.000 0.000 8.006
Rh Pu Ce
4 6 2
direct
0.000 0.801 0.394
0.500 0.196 0.124
0.000 0.301 0.606
0.500 0.696 0.876
0.000 0.907 0.739
0.000 0.407 0.261
0.500 0.600 0.216
0.000 0.933 0.069
0.500 0.100 0.784
0.000 0.433 0.931
0.500 0.063 0.437
0.500 0.563 0.563
```

## Properties
calculated formation energy = -338 meV/atom
SG = Pmc2_1
total energy = -10.94 eV/atom
D(E_F) = 33.134 states/eV per cell

---

Record 8
CePuRh: optimized geometry, PBE.

```
CePuRh
1.0
-1.151 -2.711 4.861
-3.697 -2.183 -2.093
5.067 -1.997 -1.416
Rh Pu Ce
2 2 2
direct
0.195 0.274 0.548
0.805 0.726 0.452
0.778 0.063 0.127
0.222 0.937 0.873
0.702 0.377 0.754
0.298 0.623 0.246
```

## Properties
calculated formation energy = -415 meV/atom
SG = C2/m
total energy = -9.62 eV/atom
polymorph energy (0 for the lowest one) = 0 meV/atom
D(E_F) = 14.591 states/eV per cell

---

Record 9
CePu2Rh2: optimized geometry, PBE.

```
CePu2Rh2
1.0
-1.204 -2.879 1.508
0.823 -5.984 -10.764
5.072 0.130 0.315
Ce Pu Rh
2 4 4
direct
0.779 0.897 0.558
0.221 0.397 0.442
0.012 0.248 0.024
0.988 0.748 0.976
0.331 0.665 0.663
0.669 0.165 0.337
0.373 0.076 0.746
0.627 0.576 0.254
0.085 0.980 0.169
0.915 0.480 0.831
```

## Properties
calculated formation energy = -234 meV/atom
SG = Cmc2_1
total energy = -10.09 eV/atom
polymorph energy (0 for the lowest one) = 129 meV/atom
D(E_F) = 23.683 states/eV per cell

---

Record 10
Ce2PuRh9: optimized geometry, PBE.

```
Ce2PuRh9
1.0
4.058 0.000 0.000
0.000 4.058 0.000
0.000 0.000 12.159
Ce Rh Pu
2 9 1
direct
0.000 0.000 0.333
0.000 0.000 0.667
0.500 0.500 0.000
0.500 0.500 0.668
0.000 0.500 0.838
0.500 0.000 0.838
0.000 0.500 0.500
0.500 0.000 0.500
0.000 0.500 0.162
0.500 0.000 0.162
0.500 0.500 0.332
0.000 0.000 0.000
```

## Properties
calculated formation energy = -554 meV/atom
SG = P4/mmm
total energy = -8.25 eV/atom
polymorph energy (0 for the lowest one) = 0 meV/atom
D(E_F) = 19.888 states/eV per cell

---

Record 11
Ce2PuRh: optimized geometry, PBE.

```
Ce2PuRh
1.0
-3.756 0.086 3.353
1.026 0.006 4.930
-0.834 4.142 2.740
Ce Pu Rh
2 1 1
direct
0.250 0.250 0.250
0.750 0.750 0.750
0.000 0.000 0.000
0.500 0.500 0.500
```

## Properties
calculated formation energy = -212 meV/atom
SG = Fm-3m
total energy = -8.60 eV/atom
polymorph energy (0 for the lowest one) = 58 meV/atom
D(E_F) = 7.787 states/eV per cell

---

Record 12
Ce3PuRh6: optimized geometry, PBE.

```
Ce3PuRh6
1.0
4.815 0.000 0.000
0.000 8.064 -3.421
0.000 -0.980 10.393
Pu Ce Rh
2 6 12
direct
0.750 0.086 0.443
0.250 0.914 0.557
0.250 0.332 0.785
0.250 0.798 0.969
0.750 0.202 0.031
0.750 0.668 0.215
0.250 0.482 0.345
0.750 0.518 0.655
0.750 0.529 0.918
0.750 0.921 0.124
0.250 0.874 0.277
0.250 0.471 0.082
0.750 0.702 0.494
0.750 0.126 0.723
0.250 0.130 0.187
0.250 0.079 0.876
0.250 0.298 0.506
0.250 0.687 0.671
0.750 0.313 0.329
0.750 0.870 0.813
```

## Properties
calculated formation energy = -607 meV/atom
SG = P2_1/m
total energy = -8.23 eV/atom
D(E_F) = 28.810 states/eV per cell